(1)
Na2AgSn2 after structural relaxation, computed with PBE-GGA.

```
10
Lattice="-3.110 -5.348 3.811 5.713 -4.283 -1.347 2.274 1.699 4.241" Properties=species:S:1:pos:R:3 pbc="T T T"
Ag 0.000 0.000 0.000
Ag 1.301 -4.815 1.232
Sn 1.612 -2.292 0.054
Sn 3.790 -5.598 0.210
Sn -1.188 -4.032 2.253
Sn 0.991 -7.339 2.409
Na 0.448 -5.029 4.846
Na 1.057 -1.646 3.163
Na 3.820 -6.285 3.541
Na 4.429 -2.902 1.859
```

Computed properties:
Energy above the most stable polymorph in this dataset (eV/atom): 0.0305
Formation enthalpy at 0 K (eV per atom): -0.128


(2)
Ac2TmAs4Rh3 after structural relaxation, computed with PBE-GGA.

```
10
Lattice="4.419 0.000 0.000 0.000 4.419 0.000 0.000 0.000 10.964" Properties=species:S:1:pos:R:3 pbc="T T T"
As 2.210 0.000 7.192
As 0.000 2.210 3.772
As 0.000 0.000 0.000
As 2.210 2.210 0.000
Rh 0.000 2.210 1.190
Rh 0.000 0.000 5.482
Rh 2.210 0.000 9.774
Ac 0.000 2.210 8.484
Ac 2.210 0.000 2.479
Tm 2.210 2.210 5.482
```

Computed properties:
Formation enthalpy at 0 K (eV per atom): -1.007


(3)
AlSbCl2 after structural relaxation, computed with PBE-GGA.

```
4
Lattice="5.492 -0.022 0.000 -1.783 5.194 0.000 0.000 0.000 3.237" Properties=species:S:1:pos:R:3 pbc="T T T"
Cl 1.854 2.586 0.000
Cl 0.000 0.000 0.000
Al -0.892 2.597 1.619
Sb 2.746 -0.011 1.619
```

Computed properties:
Uncorrected formation energy (eV/atom): -0.033
Energy above the most stable polymorph in this dataset (eV/atom): 0.6136


Result set for M_tot: 0.0, 0.0, 0.0 μB per formula unit, one per record in the order listed.
Result set for density of states at the Fermi level: 0.30, 0.42, 0.56 states/eV/atom, one per record in the order listed.
Result set for theoretical density: 4823, 9549, 3954 kg/m3, one per record in the order listed.